BeAl2Pt2 | GGA-PBEsol | relaxed

Structure (extended XYZ):
```
10
Lattice="-0.012 -2.050 3.252 -4.954 -3.042 -1.936 3.605 -4.197 -2.631" Properties=species:S:1:pos:R:3 pbc="T T T"
Al -2.947 -5.039 -0.915
Al -0.209 -6.563 -1.865
Al 1.587 -4.250 -0.400
Al -1.151 -2.725 0.550
Pt 0.440 -1.915 -1.205
Pt -1.788 -5.324 -3.362
Pt 1.343 -4.566 -2.872
Pt -2.691 -2.673 -1.695
Be -0.674 -3.619 -2.284
Be 0.000 0.000 0.000
```

Values from the calculation:
Energy above the lowest structure with this stoichiometry = 0 meV/atom
DFT formation energy = -0.6464 eV per atom
Mass density = 10.43 g/cm3



TlAs2Rh2 | GGA-PBEsol | relaxed

Structure (extended XYZ):
```
5
Lattice="3.952 0.000 0.000 0.000 3.952 0.000 -1.976 -1.976 6.475" Properties=species:S:1:pos:R:3 pbc="T T T"
Rh 1.976 0.000 3.237
Rh 0.000 1.976 3.237
As 0.000 0.000 4.639
As 1.976 1.976 1.836
Tl 0.000 0.000 0.000
```

Values from the calculation:
DFT formation energy = -0.3423 eV per atom
Mass density = 9.20 g/cm3



Zn2ReRh2 | GGA-PBEsol | relaxed

Structure (extended XYZ):
```
5
Lattice="3.305 0.000 0.000 0.000 3.305 0.000 -1.653 -1.653 6.642" Properties=species:S:1:pos:R:3 pbc="T T T"
Zn 1.653 0.000 3.321
Zn 0.000 1.653 3.321
Rh 1.653 1.653 1.292
Rh 0.000 0.000 5.350
Re 0.000 0.000 0.000
```

Values from the calculation:
DFT formation energy = 0.3591 eV per atom
Mass density = 11.97 g/cm3



ZrSbSe2N | GGA-PBEsol | relaxed

Structure (extended XYZ):
```
5
Lattice="3.864 0.000 0.000 0.000 5.241 0.000 0.000 0.000 5.241" Properties=species:S:1:pos:R:3 pbc="T T T"
Se 0.000 2.620 0.000
Se 0.000 0.000 2.620
Zr 1.932 2.620 2.620
Sb 0.000 0.000 0.000
N 1.932 0.000 0.000
```

Values from the calculation:
Mass density = 6.02 g/cm3
ΔE_f (raw) = 0.51 eV per atom



K4BaRe | GGA-PBEsol | relaxed

Structure (extended XYZ):
```
6
Lattice="-5.172 -4.058 3.141 0.623 -1.915 7.002 -4.415 2.949 4.990" Properties=species:S:1:pos:R:3 pbc="T T T"
K -5.886 -0.944 5.989
K -5.581 -1.883 9.422
K -3.045 0.107 7.882
K -3.416 -3.328 6.975
Ba 0.000 0.000 0.000
Re -2.241 -0.756 3.784
```

Values from the calculation:
DFT formation energy = 1.2960 eV per atom
Mass density = 2.91 g/cm3



Ca3Tc | GGA-PBEsol | relaxed

Structure (extended XYZ):
```
4
Lattice="-3.462 -2.330 -2.166 2.746 -3.805 -0.297 -1.605 -1.484 4.163" Properties=species:S:1:pos:R:3 pbc="T T T"
Ca -2.534 -1.907 0.999
Ca 0.571 -2.644 1.933
Ca -0.358 -3.067 -1.231
Tc 0.000 0.000 0.000
```

Values from the calculation:
DFT formation energy = 0.6703 eV per atom
Mass density = 3.49 g/cm3



YOs2Br | GGA-PBEsol | relaxed

Structure (extended XYZ):
```
4
Lattice="3.698 0.000 0.000 0.000 3.698 0.000 -1.849 -1.849 5.471" Properties=species:S:1:pos:R:3 pbc="T T T"
Br 0.000 0.000 0.000
Y 1.849 1.849 0.000
Os 0.000 1.849 2.735
Os 1.849 0.000 2.735
```

Values from the calculation:
Energy above the lowest structure with this stoichiometry = 105 meV/atom
Mass density = 12.19 g/cm3
ΔE_f (raw) = 0.47 eV per atom



Ca2CrH2 | GGA-PBEsol | relaxed

Structure (extended XYZ):
```
10
Lattice="2.978 0.000 0.000 0.000 7.657 0.000 0.000 0.000 7.657" Properties=species:S:1:pos:R:3 pbc="T T T"
Cr 0.000 3.828 3.828
Cr 0.000 0.000 0.000
Ca 0.000 6.546 4.938
Ca 0.000 4.938 1.110
Ca 0.000 1.110 2.718
Ca 0.000 2.718 6.546
H 1.489 0.787 4.615
H 1.489 3.041 0.787
H 1.489 4.615 6.869
H 1.489 6.869 3.041
```

Values from the calculation:
Total DFT energy (no corrections) = -3.714 eV/atom
Mass density = 2.55 g/cm3



SnBi2N2 | GGA-PBEsol | relaxed

Structure (extended XYZ):
```
10
Lattice="3.342 0.000 0.000 0.000 8.039 0.000 0.000 0.000 8.039" Properties=species:S:1:pos:R:3 pbc="T T T"
Bi 0.000 1.240 2.780
Bi 0.000 2.780 6.799
Bi 0.000 6.799 5.259
Bi 0.000 5.259 1.240
Sn 0.000 0.000 0.000
Sn 0.000 4.019 4.019
N 1.671 1.756 5.776
N 1.671 5.776 6.283
N 1.671 6.283 2.263
N 1.671 2.263 1.756
```

Values from the calculation:
Mass density = 8.68 g/cm3
ΔE_f (raw) = 0.98 eV per atom



LaHfSnN2 | GGA-PBEsol | relaxed

Structure (extended XYZ):
```
5
Lattice="-1.497 3.996 0.037 -1.519 -0.606 3.941 4.955 1.835 2.192" Properties=species:S:1:pos:R:3 pbc="T T T"
Sn 0.000 0.000 0.000
Hf 0.970 2.613 3.085
N -0.760 -0.303 1.971
N -0.748 1.998 0.019
La 2.478 0.918 1.096
```

Values from the calculation:
Mass density = 7.40 g/cm3
ΔE_f (raw) = 1.64 eV per atom



HfGeBr3 | GGA-PBEsol | relaxed

Structure (extended XYZ):
```
5
Lattice="-4.532 1.323 -2.138 -2.513 -2.529 3.762 -0.083 4.326 2.853" Properties=species:S:1:pos:R:3 pbc="T T T"
Hf 0.000 0.000 0.000
Ge -3.564 1.560 2.238
Br -1.257 -1.265 1.881
Br -0.042 2.163 1.427
Br -2.266 0.662 -1.069
```

Values from the calculation:
Mass density = 5.85 g/cm3
ΔE_f (raw) = -0.15 eV per atom



YCrOs2 | GGA-PBEsol | relaxed

Structure (extended XYZ):
```
4
Lattice="-0.801 -2.257 1.399 1.562 -2.292 -0.053 4.912 1.486 7.957" Properties=species:S:1:pos:R:3 pbc="T T T"
Os 4.375 -2.219 7.172
Os 0.801 -4.522 1.412
Cr 1.284 -0.852 2.109
Y 2.810 -1.548 4.609
```

Values from the calculation:
Energy above the lowest structure with this stoichiometry = 248 meV/atom
DFT formation energy = 0.6314 eV per atom
Mass density = 13.93 g/cm3